No. 1
A plane-wave DFT calculation with GGA-PBE was carried out for an optimized crystal structure of Tl4TeSe2.

Cell and atoms, written as CIF:
```
data_Tl4TeSe2
_chemical_formula_sum 'Tl16 Te4 Se8'
_space_group_name_H-M_alt 'C m c m'
_space_group_IT_number 63
_space_group_name_Hall '-C 2c 2'
_cell_length_a 4.6228
_cell_length_b 15.2419
_cell_length_c 13.6335
_cell_angle_alpha 90.00
_cell_angle_beta 90.00
_cell_angle_gamma 90.00
loop_
_atom_site_label
_atom_site_type_symbol
_atom_site_fract_x
_atom_site_fract_y
_atom_site_fract_z
_atom_site_occupancy
Tl1 Tl 0.0000 0.0000 0.0000 1
Tl2 Tl 0.0000 0.2734 0.1216 1
Tl3 Tl 0.0000 0.4565 0.7500 1
Te1 Te 0.0000 0.0789 0.7500 1
Se1 Se 0.0000 0.3593 0.5798 1
```

Summary:
Final energy, eV per atom: -3.099
Raw formation energy, eV per atom: -0.30
Offset from the most stable computed form, meV/atom: 0

---

No. 2
A plane-wave DFT calculation with GGA-PBE was carried out for an optimized crystal structure of Tl3TeSe3.

Cell and atoms, written as CIF:
```
data_Tl3TeSe3
_chemical_formula_sum 'Tl12 Te4 Se12'
_space_group_name_H-M_alt 'C 1 2/m 1'
_space_group_IT_number 12
_cell_length_a 10.2491
_cell_length_b 11.9375
_cell_length_c 8.0230
_cell_angle_alpha 90.00
_cell_angle_beta 91.07
_cell_angle_gamma 90.00
loop_
_space_group_symop_operation_xyz
'x,y,z'
'-x,-y,-z'
'-x,y,-z'
'x,-y,z'
'x+1/2,y+1/2,z'
'-x+1/2,-y+1/2,-z'
'-x+1/2,y+1/2,-z'
'x+1/2,-y+1/2,z'
loop_
_atom_site_label
_atom_site_type_symbol
_atom_site_fract_x
_atom_site_fract_y
_atom_site_fract_z
_atom_site_occupancy
Tl1 Tl 0.0000 0.1647 0.0000 1
Tl2 Tl 0.0000 0.1837 0.5000 1
Tl3 Tl 0.1388 0.5000 0.1300 1
Te1 Te 0.2175 0.5000 0.6372 1
Se1 Se 0.0900 0.0000 0.7429 1
Se2 Se 0.2150 0.3295 0.8260 1
```

Summary:
Final energy, eV per atom: -3.164
Raw formation energy, eV per atom: -0.21
Offset from the most stable computed form, meV/atom: 0

---

No. 3
A plane-wave DFT calculation with GGA-PBE was carried out for an optimized crystal structure of Tl12TeSe6.

Cell and atoms, written as CIF:
```
data_Tl12TeSe6
_chemical_formula_sum 'Tl36 Te3 Se18'
_space_group_name_H-M_alt 'R -3 m'
_space_group_IT_number 166
_space_group_name_Hall '-R 3 2"'
_cell_length_a 15.3619
_cell_length_b 15.3619
_cell_length_c 9.4880
_cell_angle_alpha 90.00
_cell_angle_beta 90.00
_cell_angle_gamma 120.00
loop_
_atom_site_label
_atom_site_type_symbol
_atom_site_fract_x
_atom_site_fract_y
_atom_site_fract_z
_atom_site_occupancy
Tl1 Tl 0.0000 0.3774 0.0000 1
Tl2 Tl 0.0828 0.1656 0.7846 1
Te1 Te 0.0000 0.0000 0.5000 1
Se1 Se 0.0283 0.5142 0.7480 1
```

Summary:
Final energy, eV per atom: -2.970
Raw formation energy, eV per atom: -0.21

---

No. 4
A plane-wave DFT calculation with GGA-PBE was carried out for an optimized crystal structure of TlTe2Se.

Cell and atoms, written as CIF:
```
data_TlTe2Se
_chemical_formula_sum 'Tl2 Te4 Se2'
_space_group_name_H-M_alt 'I m m m'
_space_group_IT_number 71
_space_group_name_Hall '-I 2 2'
_cell_length_a 4.0181
_cell_length_b 5.8470
_cell_length_c 10.2644
_cell_angle_alpha 90.00
_cell_angle_beta 90.00
_cell_angle_gamma 90.00
loop_
_atom_site_label
_atom_site_type_symbol
_atom_site_fract_x
_atom_site_fract_y
_atom_site_fract_z
_atom_site_occupancy
Tl1 Tl 0.0000 0.0000 0.0000 1
Te1 Te 0.0000 0.5000 0.2008 1
Se1 Se 0.0000 0.0000 0.5000 1
```

Summary:
Final energy, eV per atom: -3.051
Raw formation energy, eV per atom: -0.02

---

No. 5
A plane-wave DFT calculation with GGA-PBE was carried out for an optimized crystal structure of Tl7Te2Se2.

Cell and atoms, written as CIF:
```
data_Tl7Te2Se2
_chemical_formula_sum 'Tl14 Te4 Se4'
_space_group_name_H-M_alt 'C m m m'
_space_group_IT_number 65
_space_group_name_Hall '-C 2 2'
_cell_length_a 10.2045
_cell_length_b 11.6974
_cell_length_c 7.6622
_cell_angle_alpha 90.00
_cell_angle_beta 90.00
_cell_angle_gamma 90.00
loop_
_atom_site_label
_atom_site_type_symbol
_atom_site_fract_x
_atom_site_fract_y
_atom_site_fract_z
_atom_site_occupancy
Tl1 Tl 0.0000 0.0000 0.0000 1
Tl2 Tl 0.0000 0.5000 0.2575 1
Tl3 Tl 0.2500 0.2500 0.2815 1
Te1 Te 0.0000 0.2722 0.0000 1
Se1 Se 0.2359 0.5000 0.5000 1
```

Summary:
Final energy, eV per atom: -2.899
Raw formation energy, eV per atom: -0.19

---

No. 6
A plane-wave DFT calculation with GGA-PBE was carried out for an optimized crystal structure of TlTe2Se.

Cell and atoms, written as CIF:
```
data_TlTe2Se
_chemical_formula_sum 'Tl2 Te4 Se2'
_space_group_name_H-M_alt 'I m m 2'
_space_group_IT_number 44
_cell_length_a 4.0734
_cell_length_b 6.3609
_cell_length_c 10.0332
_cell_angle_alpha 90.00
_cell_angle_beta 90.00
_cell_angle_gamma 90.00
loop_
_space_group_symop_operation_xyz
'x,y,z'
'-x,-y,z'
'-x,y,z'
'x,-y,z'
'x+1/2,y+1/2,z+1/2'
'-x+1/2,-y+1/2,z+1/2'
'-x+1/2,y+1/2,z+1/2'
'x+1/2,-y+1/2,z+1/2'
loop_
_atom_site_label
_atom_site_type_symbol
_atom_site_fract_x
_atom_site_fract_y
_atom_site_fract_z
_atom_site_occupancy
Tl1 Tl 0.0000 0.0000 0.0000 1
Te1 Te 0.0000 0.0000 0.4503 1
Te2 Te 0.0000 0.5000 0.1622 1
Se1 Se 0.0000 0.5000 0.7560 1
```

Summary:
Final energy, eV per atom: -3.074
Raw formation energy, eV per atom: -0.04

---

No. 7
A plane-wave DFT calculation with GGA-PBE was carried out for an optimized crystal structure of TlTeSe2.

Cell and atoms, written as CIF:
```
data_TlTeSe2
_chemical_formula_sum 'Tl4 Te4 Se8'
_space_group_name_H-M_alt 'P n m a'
_space_group_IT_number 62
_cell_length_a 10.5232
_cell_length_b 6.7936
_cell_length_c 9.2264
_cell_angle_alpha 90.00
_cell_angle_beta 90.00
_cell_angle_gamma 90.00
loop_
_space_group_symop_operation_xyz
'x,y,z'
'-x,-y,-z'
'-x+1/2,-y,z+1/2'
'x+1/2,y,-z+1/2'
'x+1/2,-y+1/2,-z+1/2'
'-x+1/2,y+1/2,z+1/2'
'-x,y+1/2,-z'
'x,-y+1/2,z'
loop_
_atom_site_label
_atom_site_type_symbol
_atom_site_fract_x
_atom_site_fract_y
_atom_site_fract_z
_atom_site_occupancy
Tl1 Tl 0.0996 0.2500 0.1287 1
Te1 Te 0.0528 0.2500 0.6347 1
Se1 Se 0.0858 0.7500 0.1417 1
Se2 Se 0.0938 0.7500 0.5734 1
```

Summary:
Final energy, eV per atom: -3.225
Raw formation energy, eV per atom: -0.11
Offset from the most stable computed form, meV/atom: 41

---

No. 8
A plane-wave DFT calculation with GGA-PBE was carried out for an optimized crystal structure of TlTe2Se.

Cell and atoms, written as CIF:
```
data_TlTe2Se
_chemical_formula_sum 'Tl1 Te2 Se1'
_space_group_name_H-M_alt 'P m m m'
_space_group_IT_number 47
_cell_length_a 4.1444
_cell_length_b 4.2312
_cell_length_c 8.4076
_cell_angle_alpha 90.00
_cell_angle_beta 90.00
_cell_angle_gamma 90.00
loop_
_space_group_symop_operation_xyz
'x,y,z'
'-x,-y,-z'
'-x,-y,z'
'x,y,-z'
'x,-y,-z'
'-x,y,z'
'-x,y,-z'
'x,-y,z'
loop_
_atom_site_label
_atom_site_type_symbol
_atom_site_fract_x
_atom_site_fract_y
_atom_site_fract_z
_atom_site_occupancy
Tl1 Tl 0.0000 0.0000 0.0000 1
Te1 Te 0.0000 0.5000 0.5000 1
Te2 Te 0.5000 0.0000 0.5000 1
Se1 Se 0.5000 0.5000 0.0000 1
```

Summary:
Final energy, eV per atom: -2.995
Raw formation energy, eV per atom: 0.04

---

No. 9
A plane-wave DFT calculation with GGA-PBE was carried out for an optimized crystal structure of TlTeSe2.

Cell and atoms, written as CIF:
```
data_TlTeSe2
_chemical_formula_sum 'Tl1 Te1 Se2'
_space_group_name_H-M_alt 'P 1 2/m 1'
_space_group_IT_number 10
_cell_length_a 4.2621
_cell_length_b 4.3331
_cell_length_c 6.0281
_cell_angle_alpha 90.00
_cell_angle_beta 90.46
_cell_angle_gamma 90.00
loop_
_space_group_symop_operation_xyz
'x,y,z'
'-x,-y,-z'
'-x,y,-z'
'x,-y,z'
loop_
_atom_site_label
_atom_site_type_symbol
_atom_site_fract_x
_atom_site_fract_y
_atom_site_fract_z
_atom_site_occupancy
Tl1 Tl 0.0000 0.0000 0.0000 1
Te1 Te 0.5000 0.5000 0.5000 1
Se1 Se 0.0000 0.0000 0.5000 1
Se2 Se 0.5000 0.5000 0.0000 1
```

Summary:
Final energy, eV per atom: -3.225
Raw formation energy, eV per atom: -0.11
Offset from the most stable computed form, meV/atom: 41

---

No. 10
A plane-wave DFT calculation with GGA-PBE was carried out for an optimized crystal structure of TlTe2Se.

Cell and atoms, written as CIF:
```
data_TlTe2Se
_chemical_formula_sum 'Tl1 Te2 Se1'
_space_group_name_H-M_alt 'P 4/m m m'
_space_group_IT_number 123
_space_group_name_Hall '-P 4 2'
_cell_length_a 5.5395
_cell_length_b 5.5395
_cell_length_c 3.6122
_cell_angle_alpha 90.00
_cell_angle_beta 90.00
_cell_angle_gamma 90.00
loop_
_atom_site_label
_atom_site_type_symbol
_atom_site_fract_x
_atom_site_fract_y
_atom_site_fract_z
_atom_site_occupancy
Tl1 Tl 0.0000 0.0000 0.0000 1
Te1 Te 0.0000 0.5000 0.5000 1
Se1 Se 0.5000 0.5000 0.0000 1
```

Summary:
Final energy, eV per atom: -2.795
Raw formation energy, eV per atom: 0.24